Record 1
First-principles (GGA-PBEsol) data for InOs2W after structural relaxation, as listed in the Alexandria database.

Cell lengths 4.4499, 4.4499, 4.4499 Å; angles 60.00, 60.00, 60.00 degrees
Fractional positions:
In1 0.0000 0.0000 0.0000
Os1 0.7500 0.7500 0.7500
Os2 0.2500 0.2500 0.2500
W1 0.5000 0.5000 0.5000

Calculated values
calculated total energy: -9.88 eV per atom
crystal system: cubic
volume: 15.6 Å³/atom
total moment: 0.000 μB per atom
DFT formation energy: 0.428 eV/atom
space group: Fm-3m (225)

---

Record 2
First-principles (GGA-PBEsol) data for InOsW2 after structural relaxation, as listed in the Alexandria database.

Cell lengths 2.8413, 2.8413, 8.0345 Å; angles 90.00, 90.00, 90.00 degrees
Fractional positions:
In1 0.5000 0.5000 0.0000
Os1 0.5000 0.5000 0.5000
W1 0.0000 0.0000 0.7256
W2 0.0000 0.0000 0.2744

Calculated values
calculated total energy: -10.42 eV per atom
crystal system: tetragonal
volume: 16.2 Å³/atom
total moment: 0.000 μB per atom
DFT formation energy: 0.279 eV/atom
space group: P4/mmm (123)

---

Record 3
First-principles (GGA-PBEsol) data for InOsW2 after structural relaxation, as listed in the Alexandria database.

Cell lengths 2.8313, 4.9768, 4.9768 Å; angles 114.00, 90.00, 90.00 degrees
Fractional positions:
In1 0.5000 0.0000 0.0000
Os1 0.5000 0.5000 0.5000
W1 0.0000 0.5000 0.0000
W2 0.0000 0.0000 0.5000

Calculated values
calculated total energy: -10.18 eV per atom
crystal system: orthorhombic
volume: 16.0 Å³/atom
total moment: 0.000 μB per atom
DFT formation energy: 0.522 eV/atom
space group: Cmmm (65)

---

Record 4
First-principles (GGA-PBEsol) data for Y2InOs after structural relaxation, as listed in the Alexandria database.

Cell lengths 3.4117, 3.4117, 7.7348 Å; angles 90.00, 90.00, 90.00 degrees
Fractional positions:
Y1 0.0000 0.0000 0.7108
Y2 0.0000 0.0000 0.2892
Os1 0.5000 0.5000 0.5000
In1 0.5000 0.5000 0.0000

Calculated values
calculated total energy: -7.59 eV per atom
crystal system: tetragonal
volume: 22.5 Å³/atom
total moment: 0.000 μB per atom
DFT formation energy: -0.380 eV/atom
space group: P4/mmm (123)

---

Record 5
First-principles (GGA-PBEsol) data for YInOs after structural relaxation, as listed in the Alexandria database.

Cell lengths 4.6666, 4.6666, 4.6666 Å; angles 60.00, 60.00, 60.00 degrees
Fractional positions:
In1 0.0000 0.0000 0.0000
Os1 0.5000 0.5000 0.5000
Y1 0.2500 0.2500 0.2500

Calculated values
calculated total energy: -6.51 eV per atom
crystal system: cubic
volume: 24.0 Å³/atom
total moment: 0.000 μB per atom
DFT formation energy: 0.830 eV/atom
space group: F-43m (216)

---

Record 6
First-principles (GGA-PBEsol) data for YIn3Os after structural relaxation, as listed in the Alexandria database.

Cell lengths 5.5286, 5.5286, 5.5286 Å; angles 90.00, 90.00, 90.00 degrees
Site moments in Bohr magnetons follow the coordinates.
Fractional positions:
Y1 0.0000 0.0000 0.0000  -0.23
Os1 0.5000 0.5000 0.5000  2.72
In1 0.0000 0.5000 0.0000  -0.05
In2 0.0000 0.0000 0.5000  -0.05
In3 0.5000 0.0000 0.0000  -0.05

Calculated values
calculated total energy: -3.58 eV per atom
crystal system: cubic
volume: 33.8 Å³/atom
total moment: 0.507 μB per atom
DFT formation energy: 2.016 eV/atom
space group: Pm-3m (221)

---

Record 7
First-principles (GGA-PBEsol) data for Y2InOs after structural relaxation, as listed in the Alexandria database.

Cell lengths 3.3568, 3.3568, 8.2908 Å; angles 90.00, 90.00, 90.00 degrees
Fractional positions:
In1 0.0000 0.0000 0.5496
Os1 0.5000 0.5000 0.7302
Y1 0.0000 0.0000 0.9280
Y2 0.5000 0.5000 0.2921

Calculated values
calculated total energy: -7.24 eV per atom
crystal system: tetragonal
volume: 23.4 Å³/atom
total moment: 0.002 μB per atom
DFT formation energy: -0.029 eV/atom
space group: P4mm (99)

---

Record 8
First-principles (GGA-PBEsol) data for Y2InOs after structural relaxation, as listed in the Alexandria database.

Cell lengths 3.4513, 3.4513, 9.3808 Å; angles 79.40, 79.40, 60.00 degrees
Fractional positions:
In1 0.5000 0.5000 0.5000
Os1 0.0000 0.0000 0.0000
Y1 0.2614 0.2614 0.2158
Y2 0.7386 0.7386 0.7842

Calculated values
calculated total energy: -7.26 eV per atom
crystal system: trigonal
volume: 23.6 Å³/atom
total moment: 0.000 μB per atom
DFT formation energy: -0.047 eV/atom
space group: R-3m (166)

---

Record 9
First-principles (GGA-PBEsol) data for Y2InOs after structural relaxation, as listed in the Alexandria database.

Cell lengths 4.8711, 4.8711, 4.8711 Å; angles 60.00, 60.00, 60.00 degrees
Fractional positions:
In1 0.5000 0.5000 0.5000
Os1 0.7500 0.7500 0.7500
Y1 0.0000 0.0000 0.0000
Y2 0.2500 0.2500 0.2500

Calculated values
calculated total energy: -7.31 eV per atom
crystal system: cubic
volume: 20.4 Å³/atom
total moment: 0.000 μB per atom
DFT formation energy: -0.099 eV/atom
space group: F-43m (216)

---

Record 10
First-principles (GGA-PBEsol) data for ZnIn2Os after structural relaxation, as listed in the Alexandria database.

Cell lengths 2.9825, 2.9825, 9.2729 Å; angles 90.00, 90.00, 117.77 degrees
Fractional positions:
In1 0.0000 0.0000 0.2591
In2 0.0000 0.0000 0.7409
Os1 0.5000 0.5000 0.5000
Zn1 0.5000 0.5000 0.0000

Calculated values
calculated total energy: -4.39 eV per atom
crystal system: orthorhombic
volume: 18.2 Å³/atom
total moment: 0.000 μB per atom
DFT formation energy: 0.547 eV/atom
space group: Cmmm (65)

---

Record 11
First-principles (GGA-PBEsol) data for ZnIn2Os after structural relaxation, as listed in the Alexandria database.

Cell lengths 3.0662, 3.0662, 9.0027 Å; angles 80.20, 80.20, 60.00 degrees
Fractional positions:
In1 0.2466 0.2466 0.2603
In2 0.7534 0.7534 0.7397
Os1 0.5000 0.5000 0.5000
Zn1 0.0000 0.0000 0.0000

Calculated values
calculated total energy: -4.56 eV per atom
crystal system: trigonal
volume: 18.0 Å³/atom
total moment: 0.000 μB per atom
DFT formation energy: 0.386 eV/atom
space group: R-3m (166)

---

Record 12
First-principles (GGA-PBEsol) data for Zn2InOs after structural relaxation, as listed in the Alexandria database.

Cell lengths 3.2602, 4.3724, 4.3724 Å; angles 101.20, 90.00, 90.00 degrees
Fractional positions:
In1 0.5000 0.0000 0.0000
Os1 0.5000 0.5000 0.5000
Zn1 0.0000 0.5000 0.0000
Zn2 0.0000 0.0000 0.5000

Calculated values
calculated total energy: -4.29 eV per atom
crystal system: orthorhombic
volume: 15.3 Å³/atom
total moment: 0.000 μB per atom
DFT formation energy: 0.305 eV/atom
space group: Cmmm (65)

---

Record 13
First-principles (GGA-PBEsol) data for ZnInOs2 after structural relaxation, as listed in the Alexandria database.

Cell lengths 3.9021, 3.9021, 4.0062 Å; angles 90.00, 90.00, 90.00 degrees
Fractional positions:
In1 0.0000 0.0000 0.5000
Os1 0.0000 0.5000 0.0000
Os2 0.5000 0.0000 0.0000
Zn1 0.5000 0.5000 0.5000

Calculated values
calculated total energy: -6.66 eV per atom
crystal system: tetragonal
volume: 15.3 Å³/atom
total moment: 0.000 μB per atom
DFT formation energy: 0.593 eV/atom
space group: P4/mmm (123)

---

Record 14
First-principles (GGA-PBEsol) data for Zn2InOs after structural relaxation, as listed in the Alexandria database.

Cell lengths 3.8068, 3.8068, 4.9611 Å; angles 112.56, 112.56, 90.00 degrees
Fractional positions:
In1 0.5000 0.5000 0.0000
Os1 0.2500 0.7500 0.5000
Zn1 0.0000 0.0000 0.0000
Zn2 0.7500 0.2500 0.5000

Calculated values
calculated total energy: -4.43 eV per atom
crystal system: tetragonal
volume: 15.1 Å³/atom
total moment: 0.003 μB per atom
DFT formation energy: 0.162 eV/atom
space group: I-4m2 (119)

---

Record 15
First-principles (GGA-PBEsol) data for Zn2InOs after structural relaxation, as listed in the Alexandria database.

Cell lengths 3.3417, 3.3417, 5.5765 Å; angles 90.00, 90.00, 90.00 degrees
Fractional positions:
In1 0.5000 0.5000 0.0000
Os1 0.5000 0.5000 0.5000
Zn1 0.0000 0.0000 0.7194
Zn2 0.0000 0.0000 0.2806

Calculated values
calculated total energy: -4.34 eV per atom
crystal system: tetragonal
volume: 15.6 Å³/atom
total moment: 0.000 μB per atom
DFT formation energy: 0.247 eV/atom
space group: P4/mmm (123)

---

Record 16
First-principles (GGA-PBEsol) data for ZrInOs2 after structural relaxation, as listed in the Alexandria database.

Cell lengths 4.5727, 4.5727, 4.5727 Å; angles 60.00, 60.00, 60.00 degrees
Fractional positions:
In1 0.5000 0.5000 0.5000
Os1 0.0000 0.0000 0.0000
Os2 0.7500 0.7500 0.7500
Zr1 0.2500 0.2500 0.2500

Calculated values
calculated total energy: -8.78 eV per atom
crystal system: cubic
volume: 16.9 Å³/atom
total moment: 0.000 μB per atom
DFT formation energy: 0.342 eV/atom
space group: F-43m (216)